# 1
Computed, not measured: crystalline SrScAg at its relaxed geometry at the GGA-PBEsol level of DFT.

Lattice parameters (Å, degrees): 6.9171 6.9171 6.9171 90.00 90.00 90.00
Space group F-43m (No. 216)
Unique sites:
Sr 0.0000 0.0000 0.0000 (multiplicity 4)
Sc 0.2500 0.2500 0.2500 (multiplicity 4)
Ag 0.0000 0.0000 0.5000 (multiplicity 4)

As for the crystal system: cubic. Its formation energy is 0.5592 eV per atom. Its distance to the lowest polymorph of the same formula is 381 meV per atom.

***

# 2
Computed, not measured: crystalline BaNbTeN2 at its relaxed geometry at the GGA-PBEsol level of DFT.

Lattice parameters (Å, degrees): 4.3386 4.3386 6.5404 90.00 90.00 90.00
Space group P4/mmm (No. 123)
Unique sites:
Ba 0.0000 0.0000 0.0000 (multiplicity 1)
Nb 0.5000 0.5000 0.5000 (multiplicity 1)
Te 0.0000 0.0000 0.5000 (multiplicity 1)
N 0.0000 0.5000 0.0000 (multiplicity 2)

As for the crystal system: tetragonal. As for the formation energy from raw total energies: 1868.6 meV/atom.

***

# 3
Computed, not measured: crystalline La2Cr3 at its relaxed geometry at the GGA-PBEsol level of DFT.

Lattice parameters (Å, degrees): 3.6902 3.6902 28.0471 90.00 90.00 120.00
Space group R-3m (No. 166, hexagonal axes)
Unique sites:
La 0.0000 0.0000 0.0851 (multiplicity 6)
Cr 0.0000 0.0000 0.3333 (multiplicity 6)
Cr 0.0000 0.0000 0.5000 (multiplicity 3)

As for the crystal system: trigonal. Its formation energy is 0.7506 eV per atom.

***

# 4
Computed, not measured: crystalline KMg2ReI at its relaxed geometry at the GGA-PBEsol level of DFT.

Lattice parameters (Å, degrees): 6.4322 6.4322 6.0751 90.00 90.00 90.00
Space group P4/mmm (No. 123)
Unique sites:
K 0.0000 0.0000 0.0000 (multiplicity 1)
Mg 0.0000 0.5000 0.0000 (multiplicity 2)
Re 0.5000 0.5000 0.5000 (multiplicity 1)
I 0.0000 0.0000 0.5000 (multiplicity 1)

As for the crystal system: tetragonal. As for the formation energy from raw total energies: 1834.6 meV/atom.

***

# 5
Computed, not measured: crystalline Co3O2F4 at its relaxed geometry at the GGA-PBEsol level of DFT.

Lattice parameters (Å, degrees): 4.4275 4.4346 10.0238 90.00 116.15 90.00
Space group P2_1/c (No. 14)
Unique sites:
Co 0.0000 0.0000 0.0000 (multiplicity 2)
Co 0.3645 0.0347 0.3256 (multiplicity 4)
O 0.3593 0.6614 0.6659 (multiplicity 4)
F 0.0552 0.7369 0.3364 (multiplicity 4)
F 0.3004 0.1991 0.4938 (multiplicity 4)

As for the crystal system: monoclinic. As for the formation energy from raw total energies: -1414.2 meV/atom. Its distance to the lowest polymorph of the same formula is 2 meV per atom.

***

# 6
Computed, not measured: crystalline ThSb at its relaxed geometry at the GGA-PBEsol level of DFT.

Lattice parameters (Å, degrees): 6.2971 6.2971 6.2971 90.00 90.00 90.00
Space group Fm-3m (No. 225)
Unique sites:
Th 0.0000 0.0000 0.0000 (multiplicity 4)
Sb 0.0000 0.0000 0.5000 (multiplicity 4)

As for the crystal system: cubic. As for the formation energy from raw total energies: -902.2 meV/atom.

***

# 7
Computed, not measured: crystalline LiLaHg at its relaxed geometry at the GGA-PBEsol level of DFT.

Lattice parameters (Å, degrees): 3.7817 3.7817 10.2822 90.00 90.00 90.00
Space group I4mm (No. 107)
Unique sites:
Li 0.0000 0.0000 0.0000 (multiplicity 2)
La 0.0000 0.0000 0.6990 (multiplicity 2)
Hg 0.0000 0.0000 0.3823 (multiplicity 2)

As for the crystal system: tetragonal. Its formation energy is -0.2987 eV per atom. Its distance to the lowest polymorph of the same formula is 82 meV per atom.

***

# 8
Computed, not measured: crystalline GaSbPI2 at its relaxed geometry at the GGA-PBEsol level of DFT.

Lattice parameters (Å, degrees): 5.4900 5.4900 5.1739 90.00 90.00 90.00
Space group P4/mmm (No. 123)
Unique sites:
Ga 0.0000 0.0000 0.0000 (multiplicity 1)
Sb 0.5000 0.5000 0.0000 (multiplicity 1)
P 0.5000 0.5000 0.5000 (multiplicity 1)
I 0.0000 0.5000 0.5000 (multiplicity 2)

As for the crystal system: tetragonal. As for the formation energy from raw total energies: 378.6 meV/atom.

***

| no. | density (g/cm³) |
| --- | --- |
| 1 | 4.83 |
| 2 | 5.20 |
| 3 | 6.53 |
| 4 | 2.65 |
| 5 | 5.35 |
| 6 | 9.41 |
| 7 | 7.82 |
| 8 | 5.07 |